# 1
VASP calculation (PBE) on a relaxed structure of NbReTe2N.

Output
Energy above the most stable polymorph in this dataset, meV per atom: 432
SG: P4/mmm
Uncorrected energy, eV per atom: -6.376
Density of states at the Fermi level, states/eV/f.u.: 4.44
E_form (uncorrected), meV per atom: 1049

Lattice parameters (Å, degrees): 5.510 5.510 3.854 90.00 90.00 90.00
Site moments in Bohr magnetons follow the coordinates.
Sites, in units of the cell vectors:
Re 0.500 0.500 0.500  3.10
Te 0.500 0.000 0.000  -0.10
Te 0.000 0.500 0.000  -0.10
Nb 0.000 0.000 0.000  0.30
N 0.000 0.000 0.500  -0.01

***

# 2
VASP calculation (PBE) on a relaxed structure of NbV2ReN.

Output
SG: P4/mmm
Uncorrected energy, eV per atom: -10.229
Density of states at the Fermi level, states/eV/f.u.: 5.42
E_form (uncorrected), meV per atom: -413

Lattice parameters (Å, degrees): 3.918 3.918 4.317 90.00 90.00 90.00
Sites, in units of the cell vectors:
N 0.000 0.000 0.000
V 0.000 0.500 0.000
V 0.500 0.000 0.000
Re 0.500 0.500 0.500
Nb 0.000 0.000 0.500

***

# 3
VASP calculation (PBE) on a relaxed structure of Nb2VReN.

Output
SG: P4/mmm
Uncorrected energy, eV per atom: -10.435
Density of states at the Fermi level, states/eV/f.u.: 3.90
E_form (uncorrected), meV per atom: -429

Lattice parameters (Å, degrees): 4.387 4.387 3.716 90.00 90.00 90.00
Sites, in units of the cell vectors:
Nb 0.500 0.000 0.000
Nb 0.000 0.500 0.000
V 0.000 0.000 0.500
N 0.000 0.000 0.000
Re 0.500 0.500 0.500

***

# 4
VASP calculation (PBE) on a relaxed structure of Nb2RhN.

Output
SG: R3m
Uncorrected energy, eV per atom: -9.567
Density of states at the Fermi level, states/eV/f.u.: 3.50
E_form (uncorrected), meV per atom: -613

Lattice parameters (Å, degrees): 3.095 3.095 7.011 77.25 77.25 60.00
Sites, in units of the cell vectors:
N 0.667 0.667 0.998
Nb 0.061 0.061 0.816
Nb 0.273 0.273 0.182
Rh 0.499 0.499 0.504

***

# 5
VASP calculation (PBE) on a relaxed structure of NbRh3N.

Output
Energy above the most stable polymorph in this dataset, meV per atom: 0
SG: Pm-3m
Uncorrected energy, eV per atom: -7.945
Density of states at the Fermi level, states/eV/f.u.: 5.33
E_form (uncorrected), meV per atom: 145

Lattice parameters (Å, degrees): 4.099 4.099 4.099 90.00 90.00 90.00
Sites, in units of the cell vectors:
Nb 0.500 0.500 0.500
N 0.000 0.000 0.000
Rh 0.000 0.500 0.000
Rh 0.500 0.000 0.000
Rh 0.000 0.000 0.500

***

# 6
VASP calculation (PBE) on a relaxed structure of NbRhN2.

Output
Energy above the most stable polymorph in this dataset, meV per atom: 600
SG: Fm-3m
Uncorrected energy, eV per atom: -8.142
Density of states at the Fermi level, states/eV/f.u.: 3.80
E_form (uncorrected), meV per atom: 376

Lattice parameters (Å, degrees): 3.885 3.885 3.885 60.00 60.00 60.00
Sites, in units of the cell vectors:
N 0.750 0.750 0.750
N 0.250 0.250 0.250
Rh 0.500 0.500 0.500
Nb 0.000 0.000 0.000

***

# 7
VASP calculation (PBE) on a relaxed structure of Nb4Rh2N.

Output
Energy above the most stable polymorph in this dataset, meV per atom: 0
SG: Fd-3m
Uncorrected energy, eV per atom: -9.637
Density of states at the Fermi level, states/eV/f.u.: 8.63
E_form (uncorrected), meV per atom: -593

Lattice parameters (Å, degrees): 8.464 8.464 8.464 60.00 60.00 60.00
Sites, in units of the cell vectors:
Nb 0.625 0.625 0.125
Nb 0.819 0.181 0.181
Nb 0.819 0.819 0.181
Nb 0.181 0.181 0.819
Nb 0.069 0.431 0.431
Nb 0.431 0.431 0.069
Nb 0.125 0.625 0.625
Nb 0.069 0.431 0.069
Nb 0.625 0.125 0.625
Nb 0.181 0.819 0.181
Nb 0.069 0.069 0.431
Nb 0.181 0.819 0.819
Nb 0.431 0.069 0.431
Nb 0.431 0.069 0.069
Nb 0.625 0.625 0.625
Nb 0.819 0.181 0.819
N 0.625 0.125 0.125
N 0.125 0.625 0.125
N 0.125 0.125 0.625
N 0.125 0.125 0.125
Rh 0.836 0.836 0.836
Rh 0.414 0.759 0.414
Rh 0.836 0.836 0.491
Rh 0.759 0.414 0.414
Rh 0.414 0.414 0.759
Rh 0.491 0.836 0.836
Rh 0.414 0.414 0.414
Rh 0.836 0.491 0.836

***

# 8
VASP calculation (PBE) on a relaxed structure of NbRhN2.

Output
Energy above the most stable polymorph in this dataset, meV per atom: 49
SG: R-3m
Uncorrected energy, eV per atom: -8.694
Density of states at the Fermi level, states/eV/f.u.: 4.05
E_form (uncorrected), meV per atom: -176

Lattice parameters (Å, degrees): 6.477 6.477 6.477 27.60 27.60 27.60
Sites, in units of the cell vectors:
Nb 0.500 0.500 0.500
Rh 0.000 0.000 0.000
N 0.894 0.894 0.894
N 0.106 0.106 0.106

***

# 9
VASP calculation (PBE) on a relaxed structure of Nb2RhN.

Output
SG: R-3m
Uncorrected energy, eV per atom: -9.171
Density of states at the Fermi level, states/eV/f.u.: 3.95
E_form (uncorrected), meV per atom: -216

Lattice parameters (Å, degrees): 2.936 2.936 8.004 79.43 79.43 60.00
Sites, in units of the cell vectors:
Nb 0.107 0.107 0.680
Nb 0.893 0.893 0.320
N 0.500 0.500 0.500
Rh 0.000 0.000 0.000

***

# 10
VASP calculation (PBE) on a relaxed structure of Nb6RhN.

Output
SG: P-1
Uncorrected energy, eV per atom: -9.856
Density of states at the Fermi level, states/eV/f.u.: 6.55
E_form (uncorrected), meV per atom: -344

Lattice parameters (Å, degrees): 4.814 5.478 5.391 83.30 91.79 68.90
Sites, in units of the cell vectors:
Rh 0.500 0.500 0.500
Nb 0.934 0.653 0.209
Nb 0.593 0.242 0.099
Nb 0.407 0.758 0.901
Nb 0.204 0.064 0.348
Nb 0.796 0.936 0.652
Nb 0.066 0.347 0.791
N 0.000 0.000 0.000

***

# 11
VASP calculation (PBE) on a relaxed structure of Nb5Rh5N.

Output
SG: C2/m
Uncorrected energy, eV per atom: -9.059
Density of states at the Fermi level, states/eV/f.u.: 8.65
E_form (uncorrected), meV per atom: -384

Lattice parameters (Å, degrees): 4.618 5.469 7.749 104.47 90.00 114.97
Sites, in units of the cell vectors:
Rh 0.703 0.406 0.391
Rh 0.297 0.594 0.609
Rh 0.585 0.170 0.696
Rh 0.000 0.000 0.500
Rh 0.415 0.830 0.304
Nb 0.137 0.275 0.253
Nb 0.500 0.000 0.000
Nb 0.815 0.631 0.113
Nb 0.863 0.725 0.747
Nb 0.185 0.369 0.887
N 0.000 0.000 0.000

***

# 12
VASP calculation (PBE) on a relaxed structure of Nb7Rh2N2.

Output
SG: C2/m
Uncorrected energy, eV per atom: -9.587
Density of states at the Fermi level, states/eV/f.u.: 10.14
E_form (uncorrected), meV per atom: -329

Lattice parameters (Å, degrees): 5.839 5.544 5.839 86.17 111.61 93.83
Sites, in units of the cell vectors:
Nb 0.439 0.221 0.561
Nb 0.508 0.761 0.931
Nb 0.069 0.761 0.492
Nb 0.561 0.779 0.439
Nb 0.931 0.239 0.508
Nb 0.492 0.239 0.069
Nb 0.000 0.000 0.000
N 0.228 0.034 0.772
N 0.772 0.966 0.228
Rh 0.185 0.500 0.185
Rh 0.815 0.500 0.815

***

# 13
VASP calculation (PBE) on a relaxed structure of Nb4Rh2N.

Output
Energy above the most stable polymorph in this dataset, meV per atom: 264
SG: I4/mmm
Uncorrected energy, eV per atom: -9.373
Density of states at the Fermi level, states/eV/f.u.: 5.90
E_form (uncorrected), meV per atom: -329

Lattice parameters (Å, degrees): 4.182 4.182 7.214 73.15 73.15 90.00
Sites, in units of the cell vectors:
Nb 0.176 0.176 0.648
Nb 0.000 0.500 0.000
Nb 0.500 0.000 0.000
Nb 0.824 0.824 0.352
Rh 0.639 0.639 0.723
Rh 0.361 0.361 0.277
N 0.000 0.000 0.000

***

# 14
VASP calculation (PBE) on a relaxed structure of Nb2RhN.

Output
SG: I-42d
Uncorrected energy, eV per atom: -9.188
Density of states at the Fermi level, states/eV/f.u.: 1.74
E_form (uncorrected), meV per atom: -234

Lattice parameters (Å, degrees): 5.368 5.368 6.172 64.22 64.22 90.00
Sites, in units of the cell vectors:
Nb 0.549 0.125 0.250
Nb 0.875 0.799 0.750
Nb 0.375 0.451 0.750
Nb 0.201 0.625 0.250
N 0.250 0.750 0.500
N 0.500 0.500 0.000
Rh 0.750 0.250 0.500
Rh 0.000 0.000 0.000

***

# 15
VASP calculation (PBE) on a relaxed structure of NbRh2N.

Output
SG: I-42d
Uncorrected energy, eV per atom: -8.006
Density of states at the Fermi level, states/eV/f.u.: 2.10
E_form (uncorrected), meV per atom: 268

Lattice parameters (Å, degrees): 5.126 5.126 6.226 65.69 65.69 90.00
Sites, in units of the cell vectors:
Rh 0.875 0.782 0.750
Rh 0.375 0.468 0.750
Rh 0.218 0.625 0.250
Rh 0.532 0.125 0.250
Nb 0.000 0.000 0.000
Nb 0.750 0.250 0.500
N 0.250 0.750 0.500
N 0.500 0.500 0.000

***

# 16
VASP calculation (PBE) on a relaxed structure of NbRh2N2.

Output
SG: P4/mbm
Uncorrected energy, eV per atom: -8.413
Density of states at the Fermi level, states/eV/f.u.: 3.45
E_form (uncorrected), meV per atom: -128

Lattice parameters (Å, degrees): 5.742 5.742 3.926 90.00 90.00 90.00
Sites, in units of the cell vectors:
N 0.681 0.819 0.000
N 0.819 0.319 0.000
N 0.319 0.181 0.000
N 0.181 0.681 0.000
Nb 0.500 0.500 0.000
Nb 0.000 0.000 0.000
Rh 0.666 0.834 0.500
Rh 0.834 0.334 0.500
Rh 0.334 0.166 0.500
Rh 0.166 0.666 0.500

***

# 17
VASP calculation (PBE) on a relaxed structure of NbRhN2.

Output
Energy above the most stable polymorph in this dataset, meV per atom: 0
SG: I-42d
Uncorrected energy, eV per atom: -8.743
Density of states at the Fermi level, states/eV/f.u.: 1.12
E_form (uncorrected), meV per atom: -225

Lattice parameters (Å, degrees): 4.685 4.685 5.842 66.36 66.36 90.00
Sites, in units of the cell vectors:
Nb 0.250 0.750 0.500
Nb 0.500 0.500 0.000
N 0.141 0.625 0.250
N 0.375 0.391 0.750
N 0.609 0.125 0.250
N 0.875 0.859 0.750
Rh 0.000 0.000 0.000
Rh 0.750 0.250 0.500

***

# 18
VASP calculation (PBE) on a relaxed structure of NbRh3N.

Output
Energy above the most stable polymorph in this dataset, meV per atom: 2010
SG: Pm-3m
Uncorrected energy, eV per atom: -5.935
Density of states at the Fermi level, states/eV/f.u.: 3.65
E_form (uncorrected), meV per atom: 2155

Lattice parameters (Å, degrees): 4.768 4.768 4.768 90.00 90.00 90.00
Site moments in Bohr magnetons follow the coordinates.
Sites, in units of the cell vectors:
Rh 0.500 0.000 0.000  0.29
Rh 0.000 0.000 0.500  0.26
Rh 0.000 0.500 0.000  0.38
N 0.500 0.500 0.500  1.57
Nb 0.000 0.000 0.000  -0.12

***

# 19
VASP calculation (PBE) on a relaxed structure of Nb4Rh2N.

Output
Energy above the most stable polymorph in this dataset, meV per atom: 175
SG: Pbam
Uncorrected energy, eV per atom: -9.461
Density of states at the Fermi level, states/eV/f.u.: 7.13
E_form (uncorrected), meV per atom: -417

Lattice parameters (Å, degrees): 3.102 7.122 10.025 90.00 90.00 90.00
Sites, in units of the cell vectors:
Nb 0.500 0.815 0.569
Nb 0.000 0.141 0.693
Nb 0.000 0.359 0.193
Nb 0.500 0.185 0.431
Nb 0.000 0.859 0.307
Nb 0.000 0.641 0.807
Nb 0.500 0.685 0.069
Nb 0.500 0.315 0.931
Rh 0.500 0.448 0.631
Rh 0.500 0.052 0.131
Rh 0.500 0.552 0.369
Rh 0.500 0.948 0.869
N 0.000 0.500 0.000
N 0.000 0.000 0.500

***

# 20
VASP calculation (PBE) on a relaxed structure of Nb6Rh3N2.

Output
SG: R-3m
Uncorrected energy, eV per atom: -9.454
Density of states at the Fermi level, states/eV/f.u.: 11.06
E_form (uncorrected), meV per atom: -442

Lattice parameters (Å, degrees): 3.055 3.055 20.557 85.74 85.74 60.00
Sites, in units of the cell vectors:
Nb 0.632 0.632 0.105
Nb 0.368 0.368 0.895
Nb 0.106 0.106 0.683
Nb 0.894 0.894 0.317
Nb 0.813 0.813 0.560
Nb 0.187 0.187 0.440
N 0.541 0.541 0.378
N 0.459 0.459 0.622
Rh 0.000 0.000 0.000
Rh 0.736 0.736 0.793
Rh 0.264 0.264 0.207

***

# 21
VASP calculation (PBE) on a relaxed structure of NbRhSe2N.

Output
Energy above the most stable polymorph in this dataset, meV per atom: 0
SG: P4/mmm
Uncorrected energy, eV per atom: -6.080
Density of states at the Fermi level, states/eV/f.u.: 5.38
E_form (uncorrected), meV per atom: 463

Lattice parameters (Å, degrees): 5.133 3.818 5.133 90.00 90.00 90.00
Site moments in Bohr magnetons follow the coordinates.
Sites, in units of the cell vectors:
Se 0.500 0.000 0.000  0.01
Se 0.000 0.000 0.500  0.02
Nb 0.000 0.000 0.000  0.04
Rh 0.500 0.500 0.500  0.48
N 0.000 0.500 0.000  0.11

***

# 22
VASP calculation (PBE) on a relaxed structure of NbRhSe2N.

Output
Energy above the most stable polymorph in this dataset, meV per atom: 51
SG: P4/mmm
Uncorrected energy, eV per atom: -6.029
Density of states at the Fermi level, states/eV/f.u.: 4.24
E_form (uncorrected), meV per atom: 514

Lattice parameters (Å, degrees): 5.076 5.076 3.624 90.00 90.00 90.00
Site moments in Bohr magnetons follow the coordinates.
Sites, in units of the cell vectors:
Nb 0.500 0.500 0.500  2.06
Se 0.500 0.000 0.000  -0.09
Se 0.000 0.500 0.000  -0.09
Rh 0.000 0.000 0.000  0.03
N 0.000 0.000 0.500  0.04

***

# 23
VASP calculation (PBE) on a relaxed structure of Ta2NbRhN.

Output
SG: P4/mmm
Uncorrected energy, eV per atom: -10.468
Density of states at the Fermi level, states/eV/f.u.: 2.60
E_form (uncorrected), meV per atom: -578

Lattice parameters (Å, degrees): 4.212 4.212 4.242 90.00 90.00 90.00
Sites, in units of the cell vectors:
Ta 0.500 0.000 0.000
Ta 0.000 0.500 0.000
Rh 0.500 0.500 0.500
Nb 0.000 0.000 0.500
N 0.000 0.000 0.000

***

# 24
VASP calculation (PBE) on a relaxed structure of TaNb2RhN.

Output
SG: P4/mmm
Uncorrected energy, eV per atom: -10.107
Density of states at the Fermi level, states/eV/f.u.: 2.68
E_form (uncorrected), meV per atom: -573

Lattice parameters (Å, degrees): 4.241 4.241 4.204 90.00 90.00 90.00
Sites, in units of the cell vectors:
N 0.000 0.000 0.000
Nb 0.500 0.000 0.000
Nb 0.000 0.500 0.000
Rh 0.500 0.500 0.500
Ta 0.000 0.000 0.500

***

# 25
VASP calculation (PBE) on a relaxed structure of Nb2TcRhN.

Output
SG: P4/mmm
Uncorrected energy, eV per atom: -9.694
Density of states at the Fermi level, states/eV/f.u.: 4.56
E_form (uncorrected), meV per atom: -457

Lattice parameters (Å, degrees): 4.249 4.249 3.995 90.00 90.00 90.00
Sites, in units of the cell vectors:
Tc 0.000 0.000 0.500
Nb 0.500 0.000 0.000
Nb 0.000 0.500 0.000
N 0.000 0.000 0.000
Rh 0.500 0.500 0.500